VASP calculation (PBE+U) on a relaxed structure of Y2MnSi12O28.

Computed properties:
Fermi-level density of states = 0.0000 states/eV/atom
Crystal system = orthorhombic
E_tot = -8.0710 eV per atom

Unit cell a=7.619 b=13.114 c=13.114 alpha=71.66 beta=73.11 gamma=73.11
Fractional positions:
Y (0.250, 0.978, 0.522)
Y (0.250, 0.522, 0.978)
Y (0.750, 0.022, 0.478)
Y (0.750, 0.478, 0.022)
Mn (0.250, 0.750, 0.750)
Mn (0.750, 0.250, 0.250)
Si (0.889, 0.928, 0.777)
Si (0.406, 0.777, 0.928)
Si (0.611, 0.723, 0.572)
Si (0.094, 0.572, 0.723)
Si (0.111, 0.072, 0.223)
Si (0.594, 0.223, 0.072)
Si (0.389, 0.277, 0.428)
Si (0.906, 0.428, 0.277)
Si (0.001, 0.228, 0.476)
Si (0.295, 0.476, 0.228)
Si (0.499, 0.024, 0.272)
Si (0.205, 0.272, 0.024)
Si (0.999, 0.772, 0.524)
Si (0.705, 0.524, 0.772)
Si (0.501, 0.976, 0.728)
Si (0.795, 0.728, 0.976)
Si (0.824, 0.129, 0.871)
Si (0.176, 0.871, 0.129)
Si (0.676, 0.629, 0.371)
Si (0.324, 0.371, 0.629)
Si (0.737, 0.331, 0.669)
Si (0.263, 0.669, 0.331)
Si (0.763, 0.831, 0.169)
Si (0.237, 0.169, 0.831)
O (0.099, 0.920, 0.702)
O (0.278, 0.702, 0.920)
O (0.401, 0.798, 0.580)
O (0.222, 0.580, 0.798)
O (0.901, 0.080, 0.298)
O (0.722, 0.298, 0.080)
O (0.599, 0.202, 0.420)
O (0.778, 0.420, 0.202)
O (0.958, 0.107, 0.510)
O (0.425, 0.510, 0.107)
O (0.542, 0.990, 0.393)
O (0.075, 0.393, 0.990)
O (0.042, 0.893, 0.490)
O (0.575, 0.490, 0.893)
O (0.458, 0.010, 0.607)
O (0.925, 0.607, 0.010)
O (0.733, 0.963, 0.700)
O (0.604, 0.700, 0.963)
O (0.767, 0.800, 0.537)
O (0.896, 0.537, 0.800)
O (0.267, 0.037, 0.300)
O (0.396, 0.300, 0.037)
O (0.233, 0.200, 0.463)
O (0.104, 0.463, 0.200)
O (0.955, 0.302, 0.357)
O (0.386, 0.357, 0.302)
O (0.545, 0.143, 0.198)
O (0.114, 0.198, 0.143)
O (0.045, 0.698, 0.643)
O (0.614, 0.643, 0.698)
O (0.455, 0.857, 0.802)
O (0.886, 0.802, 0.857)
O (0.827, 0.010, 0.858)
O (0.305, 0.858, 0.010)
O (0.673, 0.642, 0.490)
O (0.195, 0.490, 0.642)
O (0.173, 0.990, 0.142)
O (0.695, 0.142, 0.990)
O (0.327, 0.358, 0.510)
O (0.805, 0.510, 0.358)
O (0.903, 0.300, 0.567)
O (0.230, 0.567, 0.300)
O (0.597, 0.933, 0.200)
O (0.270, 0.200, 0.933)
O (0.097, 0.700, 0.433)
O (0.770, 0.433, 0.700)
O (0.403, 0.067, 0.800)
O (0.730, 0.800, 0.067)
O (0.734, 0.225, 0.775)
O (0.266, 0.775, 0.225)
O (0.766, 0.725, 0.275)
O (0.234, 0.275, 0.725)
O (0.536, 0.364, 0.636)
O (0.464, 0.636, 0.364)
O (0.964, 0.864, 0.136)
O (0.036, 0.136, 0.864)